[1]
Tm2BH: relaxed, GGA-PBE.

Unit cell a=3.741 b=3.741 c=5.936 alpha=71.64 beta=71.64 gamma=60.00
Atoms (fractional coordinates):
H 0.500 0.500 0.500
B 0.000 0.000 0.000
Tm 0.253 0.253 0.240
Tm 0.747 0.747 0.760

=====

[2]
TmBH: relaxed, GGA-PBE.

Unit cell a=3.801 b=3.801 c=6.717 alpha=80.92 beta=80.92 gamma=50.65
Atoms (fractional coordinates):
H 0.846 0.846 0.398
H 0.154 0.154 0.602
B 0.252 0.748 0.000
B 0.748 0.252 0.000
Tm 0.800 0.800 0.723
Tm 0.200 0.200 0.277

Calculated values
- ΔE to the lowest computed polymorph: 205 meV/atom

=====

| no. | calculated total energy (eV per atom) |
| --- | --- |
| 1 | -4.950 |
| 2 | -5.240 |